A plane-wave DFT calculation with PBE was carried out for a relaxed structure of BaCr2As.

Energy of formation from the pure elements, eV/atom: 0.26

Cell and atoms, written as CIF:
```
data_BaCr2As
_cell_length_a 4.4422
_cell_length_b 6.3083
_cell_length_c 7.7677
_cell_angle_alpha 90.00
_cell_angle_beta 90.00
_cell_angle_gamma 90.00
_symmetry_space_group_name_H-M 'I m m 2'
_symmetry_Int_Tables_number 44
_symmetry_space_group_name_Hall 'I 2 -2'
loop_
_atom_site_label
_atom_site_fract_x
_atom_site_fract_y
_atom_site_fract_z
Ba1 0.0000 0.0000 0.0000
Cr1 0.0000 0.0000 0.5322
Cr2 0.0000 0.5000 0.8403
As1 0.0000 0.5000 0.1736
```